# GGA-PBE Th6GeAs3P2, optimized geometry
data_Th6GeAs3P2
_symmetry_space_group_name_H-M 'C 1 2/m 1'
_symmetry_Int_Tables_number 12
_cell_length_a 18.437
_cell_length_b 4.218
_cell_length_c 8.471
_cell_angle_alpha 90.00
_cell_angle_beta 103.48
_cell_angle_gamma 90.00
loop_
_symmetry_equiv_pos_as_xyz
'x,y,z'
'-x,-y,-z'
'-x,y,-z'
'x,-y,z'
'x+1/2,y+1/2,z'
'-x+1/2,-y+1/2,-z'
'-x+1/2,y+1/2,-z'
'x+1/2,-y+1/2,z'
loop_
_atom_site_label
_atom_site_fract_x
_atom_site_fract_y
_atom_site_fract_z
Th1 0.003 0.000 0.250
Th2 0.167 0.500 0.092
Th3 0.169 0.500 0.576
Ge1 0.000 0.500 0.000
As1 0.000 0.500 0.500
As2 0.166 0.000 0.833
P1 0.167 0.000 0.334
# energy of formation from the pure elements = -130.0 kJ/mol of atoms
# calculated total energy = -180.15 eV/cell

# GGA-PBE Ba2ZnInIr, optimized geometry
data_Ba2ZnInIr
_symmetry_space_group_name_H-M 'P 4/m m m'
_symmetry_Int_Tables_number 123
_symmetry_space_group_name_Hall '-P 4 2'
_cell_length_a 6.097
_cell_length_b 6.097
_cell_length_c 4.869
_cell_angle_alpha 90.00
_cell_angle_beta 90.00
_cell_angle_gamma 90.00
loop_
_atom_site_label
_atom_site_fract_x
_atom_site_fract_y
_atom_site_fract_z
Ba1 0.000 0.500 0.000
Zn1 0.000 0.000 0.500
In1 0.500 0.500 0.500
Ir1 0.000 0.000 0.000
# distance to the lowest polymorph of the same formula = 0.026 eV/atom
# energy of formation from the pure elements = -9.1 kJ/mol of atoms
# calculated total energy = -17.19 eV/cell

Calculated M_tot (μB per formula unit), listed in the same order as above: 0.0 0.0